# 1
Material: HgPdPt3
Method: DFT, GGA-PBE
State: optimized geometry

The space group is Pm-3m (No. 221) and the conventional cell measures 4.8613, 4.8613 and 4.8613 Å, with angles of 90.00, 90.00 and 90.00 degrees. The distinct sites, in fractional coordinates, are Hg at (0.0000, 0.0000, 0.0000), Pd at (0.5000, 0.5000, 0.5000) and Pt at (0.0000, 0.5000, 0.5000).

The calculation puts the energy above the most stable polymorph in this dataset at 0 meV/atom. The spin magnetization comes out at 0.000 μB/f.u. The value obtained for the formation energy is 1.22 eV/atom.

# 2
Material: Ta2In2Br
Method: DFT, GGA-PBE
State: optimized geometry

The space group is P4/mbm (No. 127) and the conventional cell measures 8.7772, 8.7772 and 3.0565 Å, with angles of 90.00, 90.00 and 90.00 degrees. The distinct sites, in fractional coordinates, are Ta at (0.1061, 0.3939, 0.0000), In at (0.1860, 0.6860, 0.5000) and Br at (0.0000, 0.0000, 0.5000).

The formation energy from raw total energies is 0.575 eV per atom. The calculation puts the energy above the most stable polymorph in this dataset at 40 meV/atom. The spin magnetization comes out at 0.000 μB/f.u.

# 3
Material: AcAlCo3B
Method: DFT, GGA-PBE
State: optimized geometry

The space group is Cmcm (No. 63) and the conventional cell measures 5.5894, 11.3547 and 5.8572 Å, with angles of 90.00, 90.00 and 90.00 degrees. The distinct sites, in fractional coordinates, are Ac at (0.0000, 0.2333, 0.2500), Al at (0.0000, 0.1076, 0.7500), Co at (0.0000, 0.3275, 0.7500), Co at (0.2281, 0.5000, 0.0000) and B at (0.0000, 0.4976, 0.2500).

The spin magnetization comes out at 1.149 μB/f.u. The value obtained for the formation energy is -0.16 eV/atom.

# 4
Material: SrIn3N
Method: DFT, GGA-PBE
State: optimized geometry

The space group is Pm-3m (No. 221) and the conventional cell measures 6.4421, 6.4421 and 6.4421 Å, with angles of 90.00, 90.00 and 90.00 degrees. The distinct sites, in fractional coordinates, are Sr at (0.0000, 0.0000, 0.0000), In at (0.0000, 0.0000, 0.5000) and N at (0.5000, 0.5000, 0.5000).

The formation energy from raw total energies is 1.641 eV per atom. The calculation puts the energy above the most stable polymorph in this dataset at 1320 meV/atom. The spin magnetization comes out at 1.026 μB/f.u.